# 1
Density functional theory data (PBE-GGA) for crystalline EuYCdGe at its relaxed geometry.

Unit cell a=5.260 b=5.260 c=5.260 alpha=60.00 beta=60.00 gamma=60.00
Positions (direct):
Eu 0.000 0.000 0.000
Y 0.500 0.500 0.500
Cd 0.750 0.750 0.750
Ge 0.250 0.250 0.250

Summary:
ρ, g/cm3: 6.87
ΔE_f, eV per atom: -0.468
Fermi-level density of states, states/eV per cell: 2.78

# 2
Density functional theory data (PBE-GGA) for crystalline Ba3CrMo at its relaxed geometry.

Unit cell a=5.965 b=5.965 c=5.965 alpha=90.00 beta=90.00 gamma=90.00
Positions (direct):
Ba 0.000 0.000 0.500
Ba 0.000 0.500 0.000
Ba 0.500 0.000 0.000
Cr 0.500 0.500 0.500
Mo 0.000 0.000 0.000

Summary:
ρ, g/cm3: 4.38
ΔE_f, eV per atom: 1.085
Fermi-level density of states, states/eV per cell: 4.70
Distance to the lowest polymorph of the same formula, eV per atom: 0.000

# 3
Density functional theory data (PBE-GGA) for crystalline Pr6BiTe5 at its relaxed geometry.

Unit cell a=7.863 b=7.863 c=7.911 alpha=99.54 beta=99.54 gamma=119.97
Positions (direct):
Pr 0.082 0.416 0.749
Pr 0.248 0.248 0.250
Pr 0.416 0.082 0.749
Pr 0.584 0.918 0.251
Pr 0.752 0.752 0.750
Pr 0.918 0.584 0.251
Bi 0.500 0.500 0.000
Te 0.000 0.000 0.500
Te 0.167 0.833 0.000
Te 0.334 0.666 0.500
Te 0.666 0.334 0.500
Te 0.833 0.167 0.000

Summary:
ρ, g/cm3: 7.03
Fermi-level density of states, states/eV per cell: 6.18
Formation energy (no corrections), eV per atom: -1.37

# 4
Density functional theory data (PBE-GGA) for crystalline CaMg3Pd at its relaxed geometry.

Unit cell a=5.071 b=5.071 c=5.071 alpha=90.00 beta=90.00 gamma=90.00
Positions (direct):
Ca 0.000 0.000 0.000
Mg 0.000 0.500 0.500
Mg 0.500 0.000 0.500
Mg 0.500 0.500 0.000
Pd 0.500 0.500 0.500

Summary:
ρ, g/cm3: 2.79
ΔE_f, eV per atom: -0.264
Fermi-level density of states, states/eV per cell: 2.75
Distance to the lowest polymorph of the same formula, eV per atom: 0.132

# 5
Density functional theory data (PBE-GGA) for crystalline Rb2CuRu at its relaxed geometry.

Unit cell a=9.210 b=9.210 c=9.210 alpha=93.83 beta=93.83 gamma=150.03
Positions (direct):
Rb 0.375 0.190 0.315
Rb 0.810 0.125 0.185
Rb 0.875 0.060 0.685
Rb 0.940 0.625 0.815
Cu 0.000 0.000 0.000
Cu 0.750 0.250 0.500
Ru 0.250 0.750 0.500
Ru 0.500 0.500 0.000

Summary:
ρ, g/cm3: 2.96
ΔE_f, eV per atom: 1.039
Fermi-level density of states, states/eV per cell: 8.83
Distance to the lowest polymorph of the same formula, eV per atom: 0.000

# 6
Density functional theory data (PBE-GGA) for crystalline GdGaIrPd at its relaxed geometry.

Unit cell a=4.672 b=4.672 c=4.672 alpha=60.00 beta=60.00 gamma=60.00
Positions (direct):
Gd 0.000 0.000 0.000
Ga 0.500 0.500 0.500
Ir 0.750 0.750 0.750
Pd 0.250 0.250 0.250

Summary:
ρ, g/cm3: 12.10
ΔE_f, eV per atom: -0.622
Fermi-level density of states, states/eV per cell: 2.84

# 7
Density functional theory data (PBE-GGA) for crystalline PrTm5Sc2 at its relaxed geometry.

Unit cell a=6.926 b=6.926 c=6.926 alpha=120.42 beta=120.42 gamma=89.27
Positions (direct):
Pr 0.000 0.000 0.000
Tm 0.000 0.000 0.500
Tm 0.000 0.500 0.000
Tm 0.500 0.000 0.000
Tm 0.500 0.500 0.000
Tm 0.500 0.500 0.500
Sc 0.000 0.500 0.500
Sc 0.500 0.000 0.500

Summary:
ρ, g/cm3: 7.65
ΔE_f, eV per atom: 0.047
Fermi-level density of states, states/eV per cell: 13.06
Distance to the lowest polymorph of the same formula, eV per atom: 0.013

# 8
Density functional theory data (PBE-GGA) for crystalline ErPuAl4 at its relaxed geometry.

Unit cell a=5.534 b=5.534 c=5.534 alpha=60.00 beta=60.00 gamma=60.00
Positions (direct):
Er 0.000 0.000 0.000
Pu 0.250 0.250 0.250
Al 0.126 0.625 0.625
Al 0.625 0.126 0.625
Al 0.625 0.625 0.126
Al 0.625 0.625 0.625

Summary:
ρ, g/cm3: 7.19
ΔE_f, eV per atom: -0.388
Fermi-level density of states, states/eV per cell: 14.54